{
  "formula": "SrZn2PN",
  "functional": "PBE",
  "state": "relaxed",
  "magnetic_moment_mub_per_atom": 0.000,
  "e_form_raw_ev_per_atom": 0.42,
  "dos_at_fermi_per_ev_atom": 0.57,
  "lattice_angstrom": [[-4.707, -1.528, -2.040], [0.379, -3.165, 1.497], [-2.482, 1.782, 4.395]],
  "species": ["P", "N", "Zn", "Zn", "Sr"],
  "fractional_positions": [[0.000, 0.000, 0.000], [0.000, 0.500, 0.000], [0.000, 0.000, 0.500], [0.500, 0.000, 0.000], [0.500, 0.500, 0.500]]
}